i:
First-principles (PBE) data for crystalline CdPOs2 at its relaxed geometry, as listed in Alexandria via LeMat-Bulk.

Calculated values
* N(E_F): 0.967 states/eV per atom
* magnetization: 0.000 μB/f.u.

Cell and atoms, written as POSCAR:
```
CdPOs2
1.0
-1.2396 -3.0256 -3.7966
-0.9795 -1.6018 4.8761
-2.7733 0.5276 0.4320
Os P Cd
2 1 1
Direct
0.0000 0.0000 0.0000
0.5000 0.0000 0.5000
0.0000 0.5000 0.5000
0.5000 0.5000 0.0000
```

=====

ii:
First-principles (PBE) data for crystalline CdPOs2 at its relaxed geometry, as listed in Alexandria via LeMat-Bulk.

Calculated values
* N(E_F): 0.400 states/eV per atom
* magnetization: 0.000 μB/f.u.

Cell and atoms, written as POSCAR:
```
CdPOs2
1.0
-0.6124 -0.0697 8.6992
-3.3963 -0.1476 8.0311
-1.8763 -2.5733 8.1187
P Os Cd
1 2 1
Direct
0.2500 0.2500 0.2500
0.9843 0.9843 0.9843
0.5157 0.5157 0.5157
0.7500 0.7500 0.7500
```

=====

iii:
First-principles (PBE) data for crystalline CdPOs2 at its relaxed geometry, as listed in Alexandria via LeMat-Bulk.

Calculated values
* N(E_F): 1.135 states/eV per atom
* magnetization: 0.000 μB/f.u.

Cell and atoms, written as POSCAR:
```
CdPOs2
1.0
2.9232 0.0000 0.0000
0.0000 2.9232 0.0000
0.0000 0.0000 7.0183
Cd Os P
1 2 1
Direct
0.5000 0.5000 0.7500
0.0000 0.0000 0.0567
0.0000 0.0000 0.4433
0.5000 0.5000 0.2500
```

=====

iv:
First-principles (PBE) data for crystalline CdPOs2 at its relaxed geometry, as listed in Alexandria via LeMat-Bulk.

Calculated values
* N(E_F): 0.564 states/eV per atom
* magnetization: 0.000 μB/f.u.

Cell and atoms, written as POSCAR:
```
CdPOs2
1.0
2.9089 -0.0041 0.0000
-1.4555 2.5185 0.0000
0.0000 0.0000 8.5989
Os P Cd
2 1 1
Direct
0.0000 0.0000 0.0439
0.0000 0.0000 0.4561
0.5000 0.5000 0.2500
0.5000 0.5000 0.7500
```

=====

Which is less stable than every other structure shown? i is.